TaAuS2 | SCAN | PBEsol geometry

Crystal system ... tetragonal
ΔE_f (raw) ... -0.15 eV per atom
M_tot ... 0.00 μB/atom

a = 6.465 Å, b = 6.465 Å, c = 6.465 Å
α = 126.80°, β = 126.80°, γ = 78.58°
Positions (direct):
1 Ta 0.000 0.000 0.000
2 Ta 0.750 0.250 0.500
3 Au 0.250 0.750 0.500
4 Au 0.500 0.500 0.000
5 S 0.108 0.125 0.483
6 S 0.375 0.892 0.017
7 S 0.642 0.625 0.517
8 S 0.875 0.358 0.983